! EuYTmLu (GGA-PBE, optimized geometry); values from VASP
&SYSTEM
  ibrav = 0, nat = 4, ntyp = 4
/
ATOMIC_SPECIES
Eu 151.96 Eu.upf
Y 88.91 Y.upf
Tm 168.93 Tm.upf
Lu 174.97 Lu.upf
CELL_PARAMETERS angstrom
0.0000 4.0259 4.0259
4.0259 0.0000 4.0259
4.0259 4.0259 0.0000
ATOMIC_POSITIONS crystal
Eu 0.0000 0.0000 0.0000
Y 0.2500 0.2500 0.2500
Tm 0.5000 0.5000 0.5000
Lu 0.7500 0.7500 0.7500
! * DFT formation energy: 0.67 eV/f.u.

=====

! Er5Ge6 (GGA-PBE, optimized geometry); values from VASP
&SYSTEM
  ibrav = 0, nat = 11, ntyp = 2
/
ATOMIC_SPECIES
Er 167.26 Er.upf
Ge 72.64 Ge.upf
CELL_PARAMETERS angstrom
1.9856 -14.5254 0.0000
1.9856 14.5254 0.0000
0.0000 0.0000 4.1888
ATOMIC_POSITIONS crystal
Er 0.0000 0.0000 0.0000
Er 0.1999 0.8001 0.5000
Er 0.3847 0.6153 0.0000
Er 0.6153 0.3847 0.0000
Er 0.8001 0.1999 0.5000
Ge 0.1018 0.8982 0.5000
Ge 0.2820 0.7180 0.0000
Ge 0.4577 0.5423 0.5000
Ge 0.5423 0.4577 0.5000
Ge 0.7180 0.2820 0.0000
Ge 0.8982 0.1018 0.5000
! * DFT formation energy: -8.24 eV/f.u.